[1]
DyHgS2 | GGA-PBE | relaxed

```
data_DyHgS2
_chemical_formula_sum 'Dy3 Hg3 S6'
_space_group_name_H-M_alt 'R 3 m'
_space_group_IT_number 160
_space_group_name_Hall 'R 3 -2"'
_cell_length_a 4.0301
_cell_length_b 4.0301
_cell_length_c 21.0588
_cell_angle_alpha 90.00
_cell_angle_beta 90.00
_cell_angle_gamma 120.00
loop_
_atom_site_label
_atom_site_type_symbol
_atom_site_fract_x
_atom_site_fract_y
_atom_site_fract_z
Dy1 Dy 0.0000 0.0000 0.0000
Hg1 Hg 0.0000 0.0000 0.8338
S1 S 0.0000 0.0000 0.4047
S2 S 0.0000 0.0000 0.5991
```

---

[2]
DyHgS | GGA-PBE | relaxed

```
data_DyHgS
_chemical_formula_sum 'Dy8 Hg8 S8'
_space_group_name_H-M_alt 'C 1 2/m 1'
_space_group_IT_number 12
_cell_length_a 22.166
_cell_length_b 3.834
_cell_length_c 7.407
_cell_angle_alpha 90.00
_cell_angle_beta 96.26
_cell_angle_gamma 90.00
loop_
_space_group_symop_operation_xyz
'x,y,z'
'-x,-y,-z'
'-x,y,-z'
'x,-y,z'
'x+1/2,y+1/2,z'
'-x+1/2,-y+1/2,-z'
'-x+1/2,y+1/2,-z'
'x+1/2,-y+1/2,z'
loop_
_atom_site_label
_atom_site_type_symbol
_atom_site_fract_x
_atom_site_fract_y
_atom_site_fract_z
Dy1 Dy 0.079 0.000 0.150
Dy2 Dy 0.136 0.000 0.654
Hg1 Hg 0.185 0.500 0.997
Hg2 Hg 0.243 0.000 0.324
S1 S 0.037 0.000 0.804
S2 S 0.106 0.500 0.405
```

---

[3]
Dy2Hg2S | GGA-PBE | relaxed

```
data_Dy2Hg2S
_chemical_formula_sum 'Dy4 Hg4 S2'
_space_group_name_H-M_alt 'C 1 2/m 1'
_space_group_IT_number 12
_cell_length_a 6.627
_cell_length_b 3.828
_cell_length_c 9.937
_cell_angle_alpha 90.00
_cell_angle_beta 102.79
_cell_angle_gamma 90.00
loop_
_space_group_symop_operation_xyz
'x,y,z'
'-x,-y,-z'
'-x,y,-z'
'x,-y,z'
'x+1/2,y+1/2,z'
'-x+1/2,-y+1/2,-z'
'-x+1/2,y+1/2,-z'
'x+1/2,-y+1/2,z'
loop_
_atom_site_label
_atom_site_type_symbol
_atom_site_fract_x
_atom_site_fract_y
_atom_site_fract_z
Dy1 Dy 0.112 0.000 0.334
Hg1 Hg 0.203 0.500 0.109
S1 S 0.000 0.500 0.500
```

---

[4]
Dy4HgSeS2 | GGA-PBE | relaxed

```
data_Dy4HgSeS2
_chemical_formula_sum 'Dy4 Hg1 Se1 S2'
_space_group_name_H-M_alt 'P 1 2/m 1'
_space_group_IT_number 10
_cell_length_a 7.032
_cell_length_b 3.947
_cell_length_c 7.128
_cell_angle_alpha 90.00
_cell_angle_beta 108.29
_cell_angle_gamma 90.00
loop_
_space_group_symop_operation_xyz
'x,y,z'
'-x,-y,-z'
'-x,y,-z'
'x,-y,z'
loop_
_atom_site_label
_atom_site_type_symbol
_atom_site_fract_x
_atom_site_fract_y
_atom_site_fract_z
Dy1 Dy 0.238 0.000 0.230
Dy2 Dy 0.254 0.500 0.769
Hg1 Hg 0.500 0.500 0.500
Se1 Se 0.000 0.000 0.500
S1 S 0.000 0.500 0.000
S2 S 0.500 0.000 0.000
```

---

no.,raw formation energy (meV/atom)
1,-1116
2,-1094
3,-977
4,-1510